Below is a relaxed structure of LaAg2Mo, with properties calculated at the PBE-GGA level.

Excess energy over the best structure of this formula in the dataset (kJ/mol of formula units): 0
E (eV/atom): -5.000
D(E_F) (states/eV/f.u.): 3.473
SG: Immm (71)
Volume (Å³ per atom): 20.81
Formation energy (eV/f.u.): 1.5

Cell: 6.094 6.094 6.094 Å, 148.62 134.64 56.19°
Positions (direct):
La1 0.750 0.250 0.500
Ag1 0.476 0.476 0.000
Ag2 0.024 0.024 0.000
Mo1 0.250 0.750 0.500